No. 1
A plane-wave DFT calculation with PBE was carried out for an optimized crystal structure of CaPr3Hg2.

Results
- ΔH_f (0 K) (kJ per mole of atoms) = -13.6
- offset from the most stable computed form (eV per formula unit) = 1.23
- crystal system = orthorhombic
- calculated total energy (eV per formula unit) = -17.79

Cell: 7.321 15.233 7.751 Å, 90.00 90.00 90.00°
Space group Ibam (No. 72)
Symmetry-distinct sites (fractional):
Ca: 0.000 0.000 0.000 [4 per cell]
Pr: 0.000 0.232 0.250 [8 per cell]
Pr: 0.000 0.500 0.250 [4 per cell]
Hg: 0.200 0.362 0.000 [8 per cell]

***

No. 2
A plane-wave DFT calculation with PBE was carried out for an optimized crystal structure of Ca5PrHg6.

Results
- ΔH_f (0 K) (kJ per mole of atoms) = -53.2
- crystal system = orthorhombic
- calculated total energy (eV per formula unit) = -23.21

Cell: 5.379 16.085 7.628 Å, 90.00 90.00 90.00°
Space group Cmmm (No. 65)
Symmetry-distinct sites (fractional):
Ca: 0.000 0.000 0.000 [2 per cell]
Ca: 0.000 0.332 0.500 [4 per cell]
Ca: 0.000 0.334 0.000 [4 per cell]
Pr: 0.000 0.000 0.500 [2 per cell]
Hg: 0.000 0.167 0.250 [8 per cell]
Hg: 0.000 0.500 0.251 [4 per cell]

***

No. 3
A plane-wave DFT calculation with PBE was carried out for an optimized crystal structure of Ca2PrHg5.

Results
- ΔH_f (0 K) (kJ per mole of atoms) = -45.1
- crystal system = tetragonal
- calculated total energy (eV per formula unit) = -14.03

Cell: 5.332 5.332 14.836 Å, 90.00 90.00 90.00°
Space group I4/mmm (No. 139)
Symmetry-distinct sites (fractional):
Ca: 0.000 0.000 0.238 [4 per cell]
Pr: 0.000 0.000 0.500 [2 per cell]
Hg: 0.000 0.000 0.000 [2 per cell]
Hg: 0.000 0.500 0.126 [8 per cell]

***

no.,magnetization (Bohr magnetons per cell)
1,0.0
2,0.0
3,0.0